The following is a GGA+U calculation of crystalline Li4FeTe3O12 at its relaxed geometry, from the Alexandria database.

a b c (Å): 8.631 5.040 5.230
angles (deg): 88.92 90.00 90.00
Last column: magnetic moment on the atom in μB.
Sites, in units of the cell vectors:
O1 0.256 0.265 0.844  0.07
O2 0.428 0.292 0.322  -0.02
O3 0.256 0.735 0.156  0.07
O4 0.576 0.294 0.837  -0.04
O5 0.087 0.798 0.672  0.09
O6 0.087 0.202 0.328  0.09
O7 0.428 0.708 0.678  -0.02
O8 0.920 0.802 0.190  0.07
O9 0.920 0.198 0.810  0.07
O10 0.763 0.763 0.664  -0.04
O11 0.576 0.706 0.163  -0.04
O12 0.763 0.237 0.336  -0.04
Li1 0.182 0.500 0.500  0.01
Li2 0.713 0.000 0.000  0.00
Li3 0.853 0.500 0.000  0.00
Li4 0.299 0.000 0.500  0.00
Fe1 0.103 0.000 0.000  4.33
Te1 0.400 0.500 0.000  0.01
Te2 0.925 0.000 0.500  0.00
Te3 0.607 0.500 0.500  -0.07

Results
The calculation puts the distance to the lowest polymorph of the same formula at 0 meV per atom. For the volume, the calculation gives 11.4 A^3/atom.